Record 1
VASP calculation (GGA+U) on crystalline Mg6NbVO8 at its relaxed geometry.

a b c (Å): 4.321 4.321 8.779
angles (deg): 90.00 90.00 90.00
Space group P4/mmm (No. 123)
Asymmetric unit:
Mg 0.000 0.000 0.000 [1 per cell]
Mg 0.000 0.000 0.500 [1 per cell]
Mg 0.000 0.500 0.246 [4 per cell]
Nb 0.500 0.500 0.500 [1 per cell]
V 0.500 0.500 0.000 [1 per cell]
O 0.000 0.000 0.251 [2 per cell]
O 0.000 0.500 0.000 [2 per cell]
O 0.000 0.500 0.500 [2 per cell]
O 0.500 0.500 0.242 [2 per cell]

Summary:
**Energy relative to the lowest polymorph listed for this composition**: 27 meV per atom
**Spin magnetization**: 2.7 μB per cell



Record 2
VASP calculation (GGA+U) on crystalline Mg6NbVO8 at its relaxed geometry.

a b c (Å): 4.315 4.315 8.729
angles (deg): 90.00 90.00 90.00
Space group P4/mmm (No. 123)
Asymmetric unit:
Mg 0.000 0.000 0.000 [1 per cell]
Mg 0.000 0.500 0.244 [4 per cell]
Mg 0.500 0.500 0.000 [1 per cell]
Nb 0.000 0.000 0.500 [1 per cell]
V 0.500 0.500 0.500 [1 per cell]
O 0.000 0.000 0.236 [2 per cell]
O 0.000 0.500 0.000 [2 per cell]
O 0.000 0.500 0.500 [2 per cell]
O 0.500 0.500 0.245 [2 per cell]

Summary:
**Energy relative to the lowest polymorph listed for this composition**: 0 meV per atom
**Spin magnetization**: 1.9 μB per cell



Record 3
VASP calculation (GGA+U) on crystalline MgNbVO6 at its relaxed geometry.

a b c (Å): 4.718 4.718 9.015
angles (deg): 90.00 90.00 90.00
Space group P4_2nm (No. 102)
Asymmetric unit:
Mg 0.000 0.000 0.000 [2 per cell]
Nb 0.000 0.000 0.669 [2 per cell]
V 0.000 0.000 0.331 [2 per cell]
O 0.187 0.187 0.486 [4 per cell]
O 0.197 0.197 0.177 [4 per cell]
O 0.210 0.210 0.820 [4 per cell]

Summary:
**Spin magnetization**: 0.0 μB per cell



Record 4
VASP calculation (GGA+U) on crystalline Mg2Nb2WO8 at its relaxed geometry.

a b c (Å): 5.310 5.941 10.096
angles (deg): 104.31 92.00 91.88
Space group P-1 (No. 2)
Asymmetric unit:
Mg 0.233 0.078 0.448 [2 per cell]
Mg 0.257 0.638 0.541 [2 per cell]
Nb 0.274 0.250 0.752 [2 per cell]
Nb 0.284 0.484 0.234 [2 per cell]
W 0.242 0.860 0.005 [2 per cell]
O 0.067 0.420 0.634 [2 per cell]
O 0.090 0.693 0.141 [2 per cell]
O 0.110 0.174 0.106 [2 per cell]
O 0.127 0.953 0.614 [2 per cell]
O 0.377 0.345 0.385 [2 per cell]
O 0.395 0.585 0.875 [2 per cell]
O 0.399 0.068 0.883 [2 per cell]
O 0.438 0.795 0.383 [2 per cell]

Summary:
**Spin magnetization**: 4.0 μB per cell



no.,calculated density (g/cm³),calculated total energy (eV/atom),calculated volume (Å³/cell)
1,4.23,-6.441,163.9
2,4.27,-6.467,162.6
3,4.37,-7.713,200.6
4,5.89,-7.777,308.2